No. 1
CsTcP2Pt | PBE-GGA | optimized geometry

Cell lengths 5.2920, 5.2920, 5.1984 Å; angles 90.00, 90.00, 90.00 degrees
Fractional coordinates of all 5 atoms:
Cs1 0.0000 0.0000 0.0000
Tc1 0.5000 0.5000 0.5000
P1 0.0000 0.5000 0.0000
P2 0.5000 0.0000 0.0000
Pt1 0.0000 0.0000 0.5000

Values from the calculation:
formation enthalpy at 0 K	2.65	eV per atom
total DFT energy (no corrections)	-2.96	eV/atom
symmetry	P4/mmm
calculated volume	29.12	Å³/atom

=====

No. 2
CsTcP2Pt | PBE-GGA | optimized geometry

Cell lengths 4.6140, 4.6140, 5.9341 Å; angles 90.00, 90.00, 90.00 degrees
Fractional coordinates of all 5 atoms:
Cs1 0.0000 0.0000 0.0000
Tc1 0.5000 0.5000 0.0000
P1 0.0000 0.5000 0.5000
P2 0.5000 0.0000 0.5000
Pt1 0.0000 0.0000 0.5000

Values from the calculation:
formation enthalpy at 0 K	1.36	eV per atom
total DFT energy (no corrections)	-4.26	eV/atom
symmetry	P4/mmm
calculated volume	25.27	Å³/atom

=====

Number 1: total magnetization 3.68 μB/cell. Number 2: total magnetization 3.56 μB/cell.